Compound: SrTa2Cd
Source: Alexandria via LeMat-Bulk
Functional: GGA-PBEsol
Structure: optimized geometry

Its crystal system is tetragonal. The value obtained for the calculated formation energy is 458.7 meV per atom.

The structure belongs to space group P4mm (No. 99); the cell edges are 2.9045, 2.9045 and 10.0831 Å and the angles 90.00°, 90.00° and 90.00°. The distinct sites, in fractional coordinates, are Sr at (0.0000, 0.0000, 0.0000), Ta at (0.0000, 0.0000, 0.5046), Ta at (0.5000, 0.5000, 0.2885) and Cd at (0.5000, 0.5000, 0.7308).



Compound: Cu4Te5Cl4O12
Source: Alexandria via LeMat-Bulk
Functional: GGA-PBEsol
Structure: optimized geometry

The calculation puts the raw formation energy at -0.83 eV per atom. Its crystal system is tetragonal.

The structure belongs to space group P4/n (No. 85, origin choice 2); the cell edges are 11.2474, 11.2474 and 6.3211 Å and the angles 90.00°, 90.00° and 90.00°. The distinct sites, in fractional coordinates, are Cu at (0.0930, 0.7447, 0.1485), Te at (0.0198, 0.6746, 0.6269), Te at (0.2500, 0.2500, 0.1243), Cl at (0.0562, 0.3842, 0.8284), O at (0.0771, 0.7935, 0.4382), O at (0.0954, 0.2082, 0.2671) and O at (0.1283, 0.7155, 0.8552).